Entry 1:
{
  "formula": "Tc3B2W2",
  "functional": "GGA-PBE",
  "state": "optimized geometry",
  "cell": [[4.613, -1.497, 0.000], [4.613, 1.497, 0.000], [-2.587, 0.000, 6.294]],
  "species": ["Tc", "Tc", "Tc", "B", "B", "W", "W"],
  "frac_coords": [[0.000, 0.000, 0.000], [0.119, 0.119, 0.438], [0.881, 0.881, 0.562], [0.340, 0.340, 0.781], [0.660, 0.660, 0.219], [0.342, 0.342, 0.197], [0.658, 0.658, 0.803]],
  "vol_a3_per_atom": 12.42,
  "dos_at_fermi_per_ev_atom": 0.401,
  "sg": "C2/m, No. 12",
  "energy_ev_per_atom": -10.330
}

---

Entry 2:
{
  "formula": "TcB3W",
  "functional": "GGA-PBE",
  "state": "optimized geometry",
  "cell": [[4.028, 0.000, 0.000], [0.000, 4.028, 0.000], [0.000, 0.000, 4.028]],
  "species": ["Tc", "B", "B", "B", "W"],
  "frac_coords": [[0.000, 0.000, 0.000], [0.000, 0.500, 0.500], [0.500, 0.000, 0.500], [0.500, 0.500, 0.000], [0.500, 0.500, 0.500]],
  "vol_a3_per_atom": 13.07,
  "de_polymorph_mev_per_atom": 1849,
  "dos_at_fermi_per_ev_atom": 0.234,
  "sg": "Pm-3m, No. 221"
}

---

Entry 3:
{
  "formula": "TcB3W",
  "functional": "GGA-PBE",
  "state": "optimized geometry",
  "cell": [[3.926, 0.000, 0.000], [0.000, 3.926, 0.000], [0.000, 0.000, 3.926]],
  "species": ["Tc", "B", "B", "B", "W"],
  "frac_coords": [[0.000, 0.000, 0.000], [0.000, 0.000, 0.500], [0.000, 0.500, 0.000], [0.500, 0.000, 0.000], [0.500, 0.500, 0.500]],
  "vol_a3_per_atom": 12.10,
  "de_polymorph_mev_per_atom": 1695,
  "dos_at_fermi_per_ev_atom": 0.456,
  "sg": "Pm-3m, No. 221"
}

---

Entry 4:
{
  "formula": "TcBW2",
  "functional": "GGA-PBE",
  "state": "optimized geometry",
  "cell": [[1.508, -4.713, 0.000], [1.508, 4.713, 0.000], [0.000, 0.000, 7.396]],
  "species": ["Tc", "Tc", "B", "B", "W", "W", "W", "W"],
  "frac_coords": [[0.072, 0.928, 0.750], [0.928, 0.072, 0.250], [0.251, 0.749, 0.250], [0.749, 0.251, 0.750], [0.361, 0.639, 0.560], [0.361, 0.639, 0.940], [0.639, 0.361, 0.060], [0.639, 0.361, 0.440]],
  "vol_a3_per_atom": 13.14,
  "dos_at_fermi_per_ev_atom": 0.648,
  "sg": "Cmcm, No. 63",
  "energy_ev_per_atom": -10.906
}

---

Entry 5:
{
  "formula": "Tc2BW",
  "functional": "GGA-PBE",
  "state": "optimized geometry",
  "cell": [[-3.496, 3.496, 2.263], [3.496, -3.496, 2.263], [3.496, 3.496, -2.263]],
  "species": ["Tc", "Tc", "Tc", "Tc", "B", "B", "W", "W"],
  "frac_coords": [[0.025, 0.625, 0.900], [0.375, 0.275, 0.400], [0.725, 0.125, 0.100], [0.875, 0.975, 0.600], [0.000, 0.000, 0.000], [0.750, 0.250, 0.500], [0.250, 0.750, 0.500], [0.500, 0.500, 0.000]],
  "vol_a3_per_atom": 13.83,
  "dos_at_fermi_per_ev_atom": 1.008,
  "sg": "I-42d, No. 122",
  "energy_ev_per_atom": -9.869
}

---

Entry 6:
{
  "formula": "TcBW",
  "functional": "GGA-PBE",
  "state": "optimized geometry",
  "cell": [[1.576, -7.456, 0.000], [1.576, 7.456, 0.000], [0.000, 0.000, 3.065]],
  "species": ["Tc", "Tc", "B", "B", "W", "W"],
  "frac_coords": [[0.195, 0.805, 0.750], [0.805, 0.195, 0.250], [0.034, 0.966, 0.750], [0.966, 0.034, 0.250], [0.416, 0.584, 0.750], [0.584, 0.416, 0.250]],
  "vol_a3_per_atom": 12.00,
  "de_polymorph_mev_per_atom": 5,
  "dos_at_fermi_per_ev_atom": 0.614,
  "sg": "Cmcm, No. 63"
}

---

Entry 7:
{
  "formula": "TcB2W2",
  "functional": "GGA-PBE",
  "state": "optimized geometry",
  "cell": [[6.019, 0.000, 0.000], [0.000, 6.019, 0.000], [0.000, 0.000, 3.144]],
  "species": ["Tc", "Tc", "B", "B", "B", "B", "W", "W", "W", "W"],
  "frac_coords": [[0.000, 0.000, 0.000], [0.500, 0.500, 0.000], [0.115, 0.385, 0.000], [0.385, 0.885, 0.000], [0.615, 0.115, 0.000], [0.885, 0.615, 0.000], [0.170, 0.670, 0.500], [0.330, 0.170, 0.500], [0.670, 0.830, 0.500], [0.830, 0.330, 0.500]],
  "vol_a3_per_atom": 11.39,
  "dos_at_fermi_per_ev_atom": 0.562,
  "sg": "P4/mbm, No. 127",
  "energy_ev_per_atom": -10.215
}

---

Entry 8:
{
  "formula": "Tc2B3W2",
  "functional": "GGA-PBE",
  "state": "optimized geometry",
  "cell": [[5.124, -1.549, 0.000], [5.124, 1.549, 0.000], [-3.315, 0.000, 4.985]],
  "species": ["Tc", "Tc", "B", "B", "B", "W", "W"],
  "frac_coords": [[0.148, 0.148, 0.265], [0.852, 0.852, 0.735], [0.435, 0.435, 0.558], [0.500, 0.500, 0.000], [0.565, 0.565, 0.442], [0.144, 0.144, 0.779], [0.856, 0.856, 0.221]],
  "vol_a3_per_atom": 11.31,
  "dos_at_fermi_per_ev_atom": 0.378,
  "sg": "C2/m, No. 12",
  "energy_ev_per_atom": -9.725
}

---

Entry 9:
{
  "formula": "Tc2B2W",
  "functional": "GGA-PBE",
  "state": "optimized geometry",
  "cell": [[6.201, 0.000, 0.000], [0.000, 6.201, 0.000], [0.000, 0.000, 2.926]],
  "species": ["Tc", "Tc", "Tc", "Tc", "B", "B", "B", "B", "W", "W"],
  "frac_coords": [[0.153, 0.347, 0.000], [0.347, 0.847, 0.000], [0.653, 0.153, 0.000], [0.847, 0.653, 0.000], [0.140, 0.640, 0.500], [0.360, 0.140, 0.500], [0.640, 0.860, 0.500], [0.860, 0.360, 0.500], [0.000, 0.000, 0.500], [0.500, 0.500, 0.500]],
  "vol_a3_per_atom": 11.25,
  "de_polymorph_mev_per_atom": 56,
  "dos_at_fermi_per_ev_atom": 0.572,
  "sg": "P4/mbm, No. 127"
}

---

Entry 10:
{
  "formula": "Tc4B2W",
  "functional": "GGA-PBE",
  "state": "optimized geometry",
  "cell": [[1.871, -6.364, 0.000], [1.871, 6.364, 0.000], [0.000, 0.000, 3.730]],
  "species": ["Tc", "Tc", "Tc", "Tc", "B", "B", "W"],
  "frac_coords": [[0.172, 0.828, 0.000], [0.326, 0.674, 0.500], [0.674, 0.326, 0.500], [0.828, 0.172, 0.000], [0.432, 0.568, 0.000], [0.568, 0.432, 0.000], [0.000, 0.000, 0.500]],
  "vol_a3_per_atom": 12.69,
  "de_polymorph_mev_per_atom": 338,
  "dos_at_fermi_per_ev_atom": 0.645,
  "sg": "Cmmm, No. 65"
}

---

Entry 11:
{
  "formula": "Y3Tc2B9",
  "functional": "GGA-PBE",
  "state": "optimized geometry",
  "cell": [[-1.573, 3.996, 6.746], [1.573, -3.996, 6.746], [1.573, 3.996, -6.746]],
  "species": ["Y", "Y", "Y", "Tc", "Tc", "B", "B", "B", "B", "B", "B", "B", "B", "B"],
  "frac_coords": [[0.000, 0.000, 0.000], [0.268, 0.268, 0.000], [0.732, 0.732, 0.000], [0.323, 0.500, 0.823], [0.677, 0.500, 0.177], [0.044, 0.363, 0.681], [0.125, 0.873, 0.252], [0.319, 0.637, 0.681], [0.380, 0.127, 0.252], [0.500, 0.000, 0.500], [0.620, 0.873, 0.748], [0.681, 0.363, 0.319], [0.875, 0.127, 0.748], [0.956, 0.637, 0.319]],
  "vol_a3_per_atom": 12.12,
  "dos_at_fermi_per_ev_atom": 0.493,
  "sg": "Immm, No. 71",
  "energy_ev_per_atom": -7.425
}

---

Entry 12:
{
  "formula": "YTc3B3",
  "functional": "GGA-PBE",
  "state": "optimized geometry",
  "cell": [[8.063, 0.000, 0.000], [-4.032, 6.983, 0.000], [0.000, 0.000, 3.113]],
  "species": ["Y", "Y", "Tc", "Tc", "Tc", "Tc", "Tc", "Tc", "B", "B", "B", "B", "B", "B"],
  "frac_coords": [[0.333, 0.667, 0.250], [0.667, 0.333, 0.750], [0.068, 0.308, 0.750], [0.240, 0.932, 0.750], [0.308, 0.240, 0.250], [0.692, 0.760, 0.750], [0.760, 0.068, 0.250], [0.932, 0.692, 0.250], [0.038, 0.570, 0.750], [0.430, 0.468, 0.750], [0.468, 0.038, 0.250], [0.532, 0.962, 0.750], [0.570, 0.532, 0.250], [0.962, 0.430, 0.250]],
  "vol_a3_per_atom": 12.52,
  "dos_at_fermi_per_ev_atom": 0.386,
  "sg": "P6_3/m, No. 176",
  "energy_ev_per_atom": -8.551
}